## Ag2BAsH (GGA-PBE)

Data for an optimized crystal structure of Ag2BAsH.

```
Ag2BAsH
1.0
-0.476 -0.742 -4.964
-3.273 -2.517 0.690
-3.107 3.960 -0.294
H As B Ag
1 1 1 2
direct
0.500 0.500 0.500
0.000 0.000 0.000
0.000 0.500 0.000
0.000 0.000 0.500
0.500 0.000 0.000
```

Values from the calculation:
total energy = -0.209 Ry per atom
space-group type = No. 123

---

## HfAg2BAs (GGA-PBE)

Data for an optimized crystal structure of HfAg2BAs.

```
HfAg2BAs
1.0
5.356 0.000 0.000
0.000 5.040 0.000
0.000 0.000 5.356
As B Hf Ag
1 1 1 2
direct
0.000 0.500 0.000
0.500 0.500 0.500
0.000 0.000 0.000
0.000 0.000 0.500
0.500 0.000 0.000
```

Values from the calculation:
space-group type = No. 123
energy relative to the elements = 1.63 eV per atom

---

## AgBAsIr2 (GGA-PBE)

Data for an optimized crystal structure of AgBAsIr2.

```
AgBAsIr2
1.0
-4.000 0.112 -1.032
-0.951 -2.835 3.376
-0.565 3.212 2.538
As Ir B Ag
1 2 1 1
direct
0.000 0.500 0.000
0.000 0.000 0.500
0.500 0.000 0.000
0.000 0.000 0.000
0.500 0.500 0.500
```

Values from the calculation:
space-group type = No. 123
energy relative to the elements = 0.47 eV per atom

---

## AgBAsN2 (GGA-PBE)

Data for an optimized crystal structure of AgBAsN2.

```
AgBAsN2
1.0
3.901 0.000 0.000
0.000 4.067 0.000
0.000 0.000 3.901
As B Ag N
1 1 1 2
direct
0.000 0.000 0.000
0.000 0.500 0.000
0.500 0.500 0.500
0.000 0.000 0.500
0.500 0.000 0.000
```

Values from the calculation:
formation energy from raw total energies = 843 kJ/mol of formula units
space-group type = No. 123

---

## NbAgBAs2 (GGA-PBE)

Data for an optimized crystal structure of NbAgBAs2.

```
NbAgBAs2
1.0
4.919 0.000 0.000
0.000 5.373 0.000
0.000 0.000 4.919
Nb B As Ag
1 1 2 1
direct
0.000 0.000 0.000
0.500 0.500 0.500
0.000 0.000 0.500
0.500 0.000 0.000
0.000 0.500 0.000
```

Values from the calculation:
space-group type = No. 123
energy relative to the elements = 1.39 eV per atom

---

## NbAg2BAs (GGA-PBE)

Data for an optimized crystal structure of NbAg2BAs.

```
NbAg2BAs
1.0
4.257 0.000 0.000
0.000 4.574 0.000
0.000 0.000 4.257
Nb B As Ag
1 1 1 2
direct
0.000 0.500 0.000
0.000 0.000 0.000
0.500 0.500 0.500
0.000 0.000 0.500
0.500 0.000 0.000
```

Values from the calculation:
space-group type = No. 123
energy relative to the elements = 0.37 eV per atom

---

## Ag2BAsO4 (GGA-PBE)

Data for an optimized crystal structure of Ag2BAsO4.

```
Ag2BAsO4
1.0
4.408 0.860 0.519
1.031 5.768 1.516
-2.218 -2.135 3.621
Ag B As O
2 1 1 4
direct
0.360 0.027 0.920
0.955 0.166 0.307
0.784 0.744 0.497
0.202 0.515 0.076
0.813 0.672 0.790
0.029 0.532 0.362
0.412 0.756 0.259
0.831 0.975 0.563
```

Values from the calculation:
formation energy from raw total energies = -852 kJ/mol of formula units
space-group type = No. 1

---

## Ag2BAsPd6 (GGA-PBE)

Data for an optimized crystal structure of Ag2BAsPd6.

```
Ag2BAsPd6
1.0
5.803 -0.065 0.863
0.004 6.129 0.138
3.573 3.107 5.115
Ag B As Pd
2 1 1 6
direct
0.653 0.286 0.532
0.347 0.714 0.468
0.500 0.500 0.000
0.000 0.000 0.000
0.209 0.190 0.464
0.824 0.647 0.993
0.287 0.753 0.089
0.713 0.247 0.911
0.176 0.353 0.007
0.791 0.810 0.536
```

Values from the calculation:
space-group type = No. 2
energy relative to the elements = -0.18 eV per atom

---

## AgBAsRh2 (GGA-PBE)

Data for an optimized crystal structure of AgBAsRh2.

```
AgBAsRh2
1.0
4.129 0.000 0.000
0.000 4.415 0.000
0.000 0.000 4.129
As B Rh Ag
1 1 2 1
direct
0.000 0.500 0.000
0.000 0.000 0.000
0.000 0.000 0.500
0.500 0.000 0.000
0.500 0.500 0.500
```

Values from the calculation:
space-group type = No. 123
energy relative to the elements = 0.26 eV per atom

---

## AgBAsS2 (GGA-PBE)

Data for an optimized crystal structure of AgBAsS2.

```
AgBAsS2
1.0
4.967 0.000 0.000
0.000 4.037 0.000
0.000 0.000 4.967
As B S Ag
1 1 2 1
direct
0.500 0.500 0.500
0.000 0.500 0.000
0.000 0.000 0.500
0.500 0.000 0.000
0.000 0.000 0.000
```

Values from the calculation:
formation energy from raw total energies = 614 kJ/mol of formula units
space-group type = No. 123

---

## Sc2AgBAs (GGA-PBE)

Data for an optimized crystal structure of Sc2AgBAs.

```
Sc2AgBAs
1.0
-0.909 -4.886 -1.461
-0.213 -1.102 3.818
-5.092 0.951 -0.010
Sc As B Ag
2 1 1 1
direct
0.000 0.000 0.500
0.500 0.000 0.000
0.500 0.500 0.500
0.000 0.500 0.000
0.000 0.000 0.000
```

Values from the calculation:
space-group type = No. 123
energy relative to the elements = 0.40 eV per atom

---

## AgBAsSe2 (GGA-PBE)

Data for an optimized crystal structure of AgBAsSe2.

```
AgBAsSe2
1.0
4.789 0.000 0.000
0.000 4.789 0.000
0.000 0.000 4.096
As B Se Ag
1 1 2 1
direct
0.000 0.000 0.500
0.000 0.000 0.000
0.000 0.500 0.000
0.500 0.000 0.000
0.500 0.500 0.500
```

Values from the calculation:
polymorph energy (0 for the lowest one) = 0 meV/atom
formation energy from raw total energies = 343 kJ/mol of formula units
space-group type = No. 123

---

## AgBAs2Se (GGA-PBE)

Data for an optimized crystal structure of AgBAs2Se.

```
AgBAs2Se
1.0
-0.630 -0.546 -4.907
-3.490 -3.449 0.832
-3.633 3.690 0.055
As B Se Ag
2 1 1 1
direct
0.000 0.500 0.000
0.500 0.000 0.000
0.500 0.500 0.500
0.000 0.000 0.500
0.000 0.000 0.000
```

Values from the calculation:
polymorph energy (0 for the lowest one) = 907 meV/atom
formation energy from raw total energies = 809 kJ/mol of formula units
space-group type = No. 123

---

## AgBAs2Se (GGA-PBE)

Data for an optimized crystal structure of AgBAs2Se.

```
AgBAs2Se
1.0
4.451 0.000 0.000
0.000 4.451 0.000
0.000 0.000 4.540
As B Se Ag
2 1 1 1
direct
0.000 0.500 0.000
0.500 0.000 0.000
0.000 0.000 0.000
0.000 0.000 0.500
0.500 0.500 0.500
```

Values from the calculation:
polymorph energy (0 for the lowest one) = 0 meV/atom
formation energy from raw total energies = 371 kJ/mol of formula units
space-group type = No. 123

---

## AgBAsSe2 (GGA-PBE)

Data for an optimized crystal structure of AgBAsSe2.

```
AgBAsSe2
1.0
5.171 0.000 0.000
0.000 5.171 0.000
0.000 0.000 4.865
As B Se Ag
1 1 2 1
direct
0.000 0.000 0.500
0.500 0.500 0.500
0.000 0.500 0.000
0.500 0.000 0.000
0.000 0.000 0.000
```

Values from the calculation:
polymorph energy (0 for the lowest one) = 862 meV/atom
formation energy from raw total energies = 759 kJ/mol of formula units
space-group type = No. 123

---

## SrAgB2As (GGA-PBE)

Data for an optimized crystal structure of SrAgB2As.

```
SrAgB2As
1.0
4.294 0.000 0.000
0.000 5.953 0.000
0.000 0.000 4.294
Sr As B Ag
1 1 2 1
direct
0.000 0.500 0.000
0.000 0.000 0.000
0.000 0.000 0.500
0.500 0.000 0.000
0.500 0.500 0.500
```

Values from the calculation:
space-group type = No. 123
energy relative to the elements = 1.20 eV per atom

---

## Ba2Ag2As (GGA-PBE)

Data for an optimized crystal structure of Ba2Ag2As.

```
Ba2Ag2As
1.0
-3.099 -0.935 -2.464
2.627 -0.797 -3.002
0.243 -9.849 0.073
As Ba Ag
1 2 2
direct
0.000 0.000 0.000
0.407 0.407 0.187
0.593 0.593 0.813
0.750 0.250 0.500
0.250 0.750 0.500
```

Values from the calculation:
polymorph energy (0 for the lowest one) = 0 meV/atom
space-group type = No. 139
energy relative to the elements = -0.50 eV per atom

---

## Ba2Ag2As (GGA-PBE)

Data for an optimized crystal structure of Ba2Ag2As.

```
Ba2Ag2As
1.0
-4.052 6.038 3.478
-6.670 -4.525 0.086
1.186 -1.667 4.277
As Ba Ag
2 4 4
direct
0.000 0.000 0.000
0.500 0.500 0.000
0.189 0.689 0.500
0.689 0.811 0.500
0.811 0.311 0.500
0.311 0.189 0.500
0.381 0.881 0.000
0.881 0.619 0.000
0.619 0.119 0.000
0.119 0.381 0.000
```

Values from the calculation:
polymorph energy (0 for the lowest one) = 127 meV/atom
space-group type = No. 127
energy relative to the elements = -0.37 eV per atom

---

## Ba3AgAs4 (GGA-PBE)

Data for an optimized crystal structure of Ba3AgAs4.

```
Ba3AgAs4
1.0
-2.928 3.364 2.414
0.321 -3.332 5.032
8.246 4.296 -1.311
As Ba Ag
4 3 1
direct
0.380 0.586 0.759
0.620 0.414 0.241
0.620 0.826 0.241
0.380 0.174 0.759
0.191 0.191 0.382
0.809 0.809 0.618
0.000 0.500 0.000
0.500 0.000 0.000
```

Values from the calculation:
space-group type = No. 71
energy relative to the elements = -0.80 eV per atom

---

## BaAg2As2 (GGA-PBE)

Data for an optimized crystal structure of BaAg2As2.

```
BaAg2As2
1.0
-3.452 -1.228 3.298
-0.240 -4.527 -1.937
1.798 -4.452 3.909
As Ba Ag
2 1 2
direct
0.750 0.250 0.500
0.250 0.750 0.500
0.000 0.000 0.000
0.358 0.358 0.284
0.642 0.642 0.716
```

Values from the calculation:
space-group type = No. 139
energy relative to the elements = -0.35 eV per atom

---

| no. | DOS(E_F) (states/eV per cell) |
| --- | --- |
| 1 | 1.2 |
| 2 | 2.4 |
| 3 | 3.2 |
| 4 | 1.9 |
| 5 | 3.0 |
| 6 | 2.9 |
| 7 | 0.0 |
| 8 | 2.6 |
| 9 | 3.2 |
| 10 | 3.3 |
| 11 | 2.5 |
| 12 | 2.3 |
| 13 | 3.5 |
| 14 | 2.4 |
| 15 | 4.2 |
| 16 | 4.1 |
| 17 | 1.3 |
| 18 | 5.2 |
| 19 | 2.2 |
| 20 | 2.6 |